Record 1
{
  "formula": "CdTeCl2",
  "functional": "PBE",
  "state": "optimized geometry",
  "lattice_angstrom": [[-6.459, -0.471, -0.906], [-1.097, -5.910, -2.575], [1.816, 3.689, 5.084]],
  "species": ["Cl", "Cl", "Cd", "Te"],
  "frac_coords": [[0.429, 0.429, 0.000], [0.071, 0.071, 0.000], [0.250, 0.750, 0.500], [0.750, 0.250, 0.500]],
  "formation_energy_uncorrected_ev_per_atom": -0.35,
  "e_tot_ha_per_atom": -0.084,
  "sg": "Immm, No. 71",
  "crystal_system": "orthorhombic",
  "m_tot_mub_per_cell": 1.257,
  "relative_energy_mev_per_atom": 192,
  "dos_ef_per_ev_cell": 1.13
}

Record 2
{
  "formula": "SrZn2Ag",
  "functional": "PBE",
  "state": "optimized geometry",
  "lattice_angstrom": [[-1.853, -3.777, -1.663], [2.322, -3.882, 0.069], [-1.915, -3.701, 4.392]],
  "species": ["Zn", "Zn", "Ag", "Sr"],
  "frac_coords": [[0.947, 0.947, 0.160], [0.254, 0.254, 0.239], [0.551, 0.551, 0.347], [0.749, 0.749, 0.754]],
  "e_tot_ha_per_atom": -0.073,
  "sg": "R3m, No. 160",
  "crystal_system": "trigonal",
  "m_tot_mub_per_cell": 0.000,
  "dos_ef_per_ev_cell": 1.76,
  "ef_kj_per_mol_atoms": -20.4
}